Here is LiNd2CrO6 after structural relaxation from Alexandria via LeMat-Bulk. Energies are from GGA+U.

Cell and atoms, written as POSCAR:
```
LiNd2CrO6
1.0
-1.8681 3.6234 -3.5798
-3.8113 -3.8422 -1.9002
-4.9931 2.4119 5.1381
Li Nd Cr O
2 4 2 12
Cartesian
-3.4306 3.0176 0.7791 Li
-1.9056 -1.9211 -0.9501 Li
-4.8343 -2.9279 -0.5531 Nd
-6.8629 1.5032 0.9251 Nd
-5.8381 5.1210 0.2112 Nd
-3.8096 0.6899 -1.2670 Nd
-0.9340 1.8117 -1.7899 Cr
-4.4022 -0.7152 1.6190 Cr
-3.5659 -1.5062 -2.2371 O
-7.2388 1.2672 -1.5787 O
-7.1066 3.6993 1.8952 O
-3.4337 0.9259 1.2368 O
-5.4205 -0.5129 0.0190 O
-9.3332 2.0187 0.5578 O
-5.2520 2.7060 -0.3609 O
-1.3393 0.1744 -0.8997 O
-5.0247 1.9419 -2.9124 O
-8.3135 -0.4043 0.5859 O
-5.6478 0.2512 2.5705 O
-2.3589 2.5973 -0.9278 O
```

Volume: 11.76 Å³/atom
Final energy: -0.2708 Ha/atom
Total magnetization: 0.94 μB per formula unit
Space group: P2_1/c, No. 14